No. 1
VASP calculation (GGA-PBEsol) on a relaxed K2FeCl2 crystal.

## Properties
The value obtained for the energy relative to the elements, uncorrected is -646.6 meV/atom.

a = 6.0675 Å, b = 6.0675 Å, c = 6.0675 Å
α = 118.42°, β = 118.42°, γ = 92.76°
Last column: nearest neighbours and their distance in Å.
Element x y z (fractional)
1 K 0.2500 0.7500 0.5000  4 Cl 3.11
2 K 0.7500 0.2500 0.5000  4 Cl 3.11
3 Fe 0.0000 0.0000 0.0000  2 Cl 2.14
4 Cl 0.2561 0.2561 0.0000  1 Fe 2.14
5 Cl 0.7439 0.7439 0.0000  1 Fe 2.14

---

No. 2
VASP calculation (GGA-PBEsol) on a relaxed Ce4Si3Rh4 crystal.

## Properties
The value obtained for the energy relative to the elements, uncorrected is -908.6 meV/atom.

a = 10.4375 Å, b = 10.4375 Å, c = 7.7534 Å
α = 109.66°, β = 109.66°, γ = 30.92°
Last column: nearest neighbours and their distance in Å.
Element x y z (fractional)
1 Ce 0.0791 0.7961 0.8336  5 Rh 2.78-3.09, 2 Si 2.96-3.03
2 Ce 0.2039 0.9209 0.6664  5 Rh 2.78-3.09, 2 Si 2.96-3.03
3 Ce 0.2134 0.4456 0.1002  6 Rh 2.93-3.27, 4 Si 3.00-3.22
4 Ce 0.4456 0.2134 0.6002  6 Rh 2.93-3.27, 4 Si 3.00-3.22
5 Ce 0.5544 0.7866 0.3998  6 Rh 2.93-3.27, 4 Si 3.00-3.22
6 Ce 0.7866 0.5544 0.8998  6 Rh 2.93-3.27, 4 Si 3.00-3.22
7 Ce 0.7961 0.0791 0.3336  5 Rh 2.78-3.09, 2 Si 2.96-3.03
8 Ce 0.9209 0.2039 0.1664  5 Rh 2.78-3.09, 2 Si 2.96-3.03
9 Si 0.0589 0.2812 0.5540  4 Rh 2.41-2.51
10 Si 0.2812 0.0589 0.0540  4 Rh 2.41-2.51
11 Si 0.3455 0.6545 0.2500  4 Rh 2.55-2.58
12 Si 0.6545 0.3455 0.7500  4 Rh 2.55-2.58
13 Si 0.7188 0.9411 0.9460  4 Rh 2.41-2.51
14 Si 0.9411 0.7188 0.4460  4 Rh 2.41-2.51
15 Rh 0.0680 0.3733 0.3128  3 Si 2.41-2.46
16 Rh 0.3092 0.5610 0.4787  3 Si 2.51-2.58, 1 Ce 2.78
17 Rh 0.3733 0.0680 0.8128  3 Si 2.41-2.46
18 Rh 0.4390 0.6908 0.0213  3 Si 2.51-2.58, 1 Ce 2.78
19 Rh 0.5610 0.3092 0.9787  3 Si 2.51-2.58, 1 Ce 2.78
20 Rh 0.6267 0.9320 0.1872  3 Si 2.41-2.46
21 Rh 0.6908 0.4390 0.5213  3 Si 2.51-2.58, 1 Ce 2.78
22 Rh 0.9320 0.6267 0.6872  3 Si 2.41-2.46

---

No. 3
VASP calculation (GGA-PBEsol) on a relaxed TlRh3F crystal.

## Properties
The value obtained for the energy relative to the elements, uncorrected is 1854.8 meV/atom.

a = 4.9729 Å, b = 4.9729 Å, c = 4.9729 Å
α = 90.00°, β = 90.00°, γ = 90.00°
Last column: nearest neighbours and their distance in Å.
Element x y z (fractional)
1 Tl 0.0000 0.0000 0.0000  6 Rh 2.49
2 Rh 0.0000 0.0000 0.5000  2 Tl 2.49
3 Rh 0.0000 0.5000 0.0000  2 Tl 2.49
4 Rh 0.5000 0.0000 0.0000  2 Tl 2.49
5 F 0.5000 0.5000 0.5000  12 Rh 3.52

---

No. 4
VASP calculation (GGA-PBEsol) on a relaxed Co3HSe crystal.

## Properties
For the total energy, the calculation gives -23.75 eV/f.u.

a = 4.3441 Å, b = 4.3441 Å, c = 4.3441 Å
α = 90.00°, β = 90.00°, γ = 90.00°
Last column: nearest neighbours and their distance in Å.
Element x y z (fractional)
1 Co 0.0000 0.0000 0.5000  2 Se 2.17
2 Co 0.0000 0.5000 0.0000  2 Se 2.17
3 Co 0.5000 0.0000 0.0000  2 Se 2.17
4 H 0.5000 0.5000 0.5000  12 Co 3.07
5 Se 0.0000 0.0000 0.0000  6 Co 2.17

---

No. 5
VASP calculation (GGA-PBEsol) on a relaxed BaSr3H crystal.

## Properties
For the total energy, the calculation gives -11.41 eV/f.u.

a = 5.8448 Å, b = 5.8448 Å, c = 5.8448 Å
α = 90.00°, β = 90.00°, γ = 90.00°
Last column: nearest neighbours and their distance in Å.
Element x y z (fractional)
1 Ba 0.0000 0.0000 0.0000  12 Sr 4.13
2 Sr 0.0000 0.5000 0.5000  2 H 2.92
3 Sr 0.5000 0.0000 0.5000  2 H 2.92
4 Sr 0.5000 0.5000 0.0000  2 H 2.92
5 H 0.5000 0.5000 0.5000  6 Sr 2.92

---

No. 6
VASP calculation (GGA-PBEsol) on a relaxed FeSiOs2 crystal.

## Properties
The value obtained for the energy relative to the elements, uncorrected is 25.0 meV/atom.

a = 2.7245 Å, b = 3.7926 Å, c = 5.1389 Å
α = 90.00°, β = 101.95°, γ = 90.00°
Last column: nearest neighbours and their distance in Å.
Element x y z (fractional)
1 Fe 0.0000 0.0000 0.0000  2 Si 2.57, 8 Os 2.63-2.70, 2 Fe 2.72
2 Si 0.0000 0.0000 0.5000  4 Os 2.38, 2 Fe 2.57
3 Os 0.3727 0.5000 0.7443  2 Si 2.38, 1 Os 2.58, 2 Fe 2.63
4 Os 0.6273 0.5000 0.2557  2 Si 2.38, 1 Os 2.58, 2 Fe 2.63

---

- Which formula does entry 2 have?
  Ce4Si3Rh4

---

- Number 2 is which compound?
  Ce4Si3Rh4